1.
# Li2YAu | Alexandria via LeMat-Bulk | SCAN | single point on PBEsol structure
data_Li2YAu
_chemical_formula_sum 'Li4 Y2 Au2'
_space_group_name_H-M_alt 'I m m m'
_space_group_IT_number 71
_space_group_name_Hall '-I 2 2'
_cell_length_a 3.457
_cell_length_b 4.764
_cell_length_c 9.818
_cell_angle_alpha 90.00
_cell_angle_beta 90.00
_cell_angle_gamma 90.00
loop_
_atom_site_label
_atom_site_type_symbol
_atom_site_fract_x
_atom_site_fract_y
_atom_site_fract_z
Li1 Li 0.000 0.000 0.216
Y1 Y 0.000 0.500 0.000
Au1 Au 0.000 0.500 0.500
# Total energy = -25.94 eV per atom
# Energy of formation = -189 kJ/mol of formula units
# Polymorph energy (0 for the lowest one) = 0.0173 eV per atom



2.
# LiY2Au | Alexandria via LeMat-Bulk | SCAN | single point on PBEsol structure
data_LiY2Au
_chemical_formula_sum 'Li2 Y4 Au2'
_space_group_name_H-M_alt 'A m m 2'
_space_group_IT_number 38
_cell_length_a 4.709
_cell_length_b 3.716
_cell_length_c 10.631
_cell_angle_alpha 90.00
_cell_angle_beta 90.00
_cell_angle_gamma 90.00
loop_
_space_group_symop_operation_xyz
'x,y,z'
'-x,-y,z'
'-x,y,z'
'x,-y,z'
'x,y+1/2,z+1/2'
'-x,-y+1/2,z+1/2'
'-x,y+1/2,z+1/2'
'x,-y+1/2,z+1/2'
loop_
_atom_site_label
_atom_site_type_symbol
_atom_site_fract_x
_atom_site_fract_y
_atom_site_fract_z
Li1 Li 0.000 0.000 0.000
Y1 Y 0.000 0.000 0.285
Y2 Y 0.500 0.000 0.576
Au1 Au 0.500 0.000 0.861
# Total energy = -32.36 eV per atom
# Energy of formation = -212 kJ/mol of formula units



3.
# Li2Y2Au | Alexandria via LeMat-Bulk | SCAN | single point on PBEsol structure
data_Li2Y2Au
_chemical_formula_sum 'Li4 Y4 Au2'
_space_group_name_H-M_alt 'I 4/m m m'
_space_group_IT_number 139
_space_group_name_Hall '-I 4 2'
_cell_length_a 3.573
_cell_length_b 3.573
_cell_length_c 18.440
_cell_angle_alpha 90.00
_cell_angle_beta 90.00
_cell_angle_gamma 90.00
loop_
_atom_site_label
_atom_site_type_symbol
_atom_site_fract_x
_atom_site_fract_y
_atom_site_fract_z
Li1 Li 0.000 0.500 0.250
Y1 Y 0.000 0.000 0.092
Au1 Au 0.000 0.000 0.500
# Total energy = -26.24 eV per atom
# Energy of formation = -150 kJ/mol of formula units